First-principles (GGA-PBE) data for a geometry-optimized Cs2ThCdTe4 structure, as listed in Alexandria.

Calculated values
Formation energy from raw total energies (eV per atom): -0.932

abc: 7.690 7.690 7.690
angles: 104.58 104.58 119.78
Sites, in units of the cell vectors:
1 Cs 0.000 0.500 0.500
2 Cs 0.500 0.000 0.500
3 Th 0.000 0.000 0.000
4 Cd 0.500 0.500 0.000
5 Te 0.089 0.089 0.659
6 Te 0.430 0.430 0.341
7 Te 0.570 0.911 0.000
8 Te 0.911 0.570 0.000


First-principles (GGA-PBE) data for a geometry-optimized CaMg3 structure, as listed in Alexandria.

Calculated values
ΔH_f (0 K) (eV/atom): -0.01

abc: 5.161 5.161 9.727
angles: 90.00 90.00 120.00
Sites, in units of the cell vectors:
1 Ca 0.333 0.667 0.000
2 Ca 0.667 0.333 0.500
3 Mg 0.000 0.000 0.251
4 Mg 0.000 0.000 0.751
5 Mg 0.333 0.667 0.337
6 Mg 0.333 0.667 0.663
7 Mg 0.667 0.333 0.163
8 Mg 0.667 0.333 0.837


First-principles (GGA-PBE) data for a geometry-optimized CeEuYIn structure, as listed in Alexandria.

Calculated values
ΔH_f (0 K) (eV/atom): -0.10

abc: 5.534 5.534 5.534
angles: 60.00 60.00 60.00
Sites, in units of the cell vectors:
1 Ce 0.000 0.000 0.000
2 Eu 0.750 0.750 0.750
3 Y 0.500 0.500 0.500
4 In 0.250 0.250 0.250


First-principles (GGA-PBE) data for a geometry-optimized Nd4ErPb4 structure, as listed in Alexandria.

Calculated values
ΔH_f (0 K) (eV/atom): -0.32

abc: 9.600 9.600 6.561
angles: 90.00 90.00 90.00
Sites, in units of the cell vectors:
1 Nd 0.027 0.671 0.118
2 Nd 0.171 0.973 0.618
3 Nd 0.329 0.527 0.618
4 Nd 0.473 0.829 0.118
5 Nd 0.527 0.171 0.882
6 Nd 0.671 0.473 0.382
7 Nd 0.829 0.027 0.382
8 Nd 0.973 0.329 0.882
9 Er 0.250 0.250 0.250
10 Er 0.750 0.750 0.750
11 Pb 0.026 0.654 0.609
12 Pb 0.154 0.974 0.109
13 Pb 0.346 0.526 0.109
14 Pb 0.474 0.846 0.609
15 Pb 0.526 0.154 0.391
16 Pb 0.654 0.474 0.891
17 Pb 0.846 0.026 0.891
18 Pb 0.974 0.346 0.391


First-principles (GGA-PBE) data for a geometry-optimized Ac2Zn3Pt5 structure, as listed in Alexandria.

Calculated values
ΔH_f (0 K) (eV/atom): -0.82

abc: 8.874 8.874 8.874
angles: 104.70 88.23 141.01
Sites, in units of the cell vectors:
1 Ac 0.127 0.230 0.357
2 Ac 0.373 0.730 0.103
3 Ac 0.627 0.270 0.897
4 Ac 0.873 0.770 0.643
5 Zn 0.143 0.906 0.049
6 Zn 0.250 0.750 0.500
7 Zn 0.357 0.406 0.762
8 Zn 0.643 0.594 0.238
9 Zn 0.750 0.250 0.500
10 Zn 0.857 0.094 0.951
11 Pt 0.039 0.750 0.289
12 Pt 0.106 0.674 0.780
13 Pt 0.250 0.250 0.000
14 Pt 0.394 0.174 0.568
15 Pt 0.461 0.750 0.711
16 Pt 0.539 0.250 0.289
17 Pt 0.606 0.826 0.432
18 Pt 0.750 0.750 0.000
19 Pt 0.894 0.326 0.220
20 Pt 0.961 0.250 0.711


First-principles (GGA-PBE) data for a geometry-optimized CaSm2ThBi4 structure, as listed in Alexandria.

Calculated values
ΔH_f (0 K) (eV/atom): -0.82

abc: 7.919 4.596 7.949
angles: 90.00 109.29 90.00
Sites, in units of the cell vectors:
1 Ca 0.000 0.000 0.000
2 Sm 0.000 0.500 0.500
3 Sm 0.500 0.000 0.500
4 Th 0.500 0.500 0.000
5 Bi 0.249 0.000 0.749
6 Bi 0.252 0.500 0.252
7 Bi 0.748 0.500 0.748
8 Bi 0.751 0.000 0.251


First-principles (GGA-PBE) data for a geometry-optimized IrOsCl4 structure, as listed in Alexandria.

Calculated values
Formation energy from raw total energies (eV per atom): 2.057

abc: 5.510 5.510 5.510
angles: 60.00 60.00 60.00
Sites, in units of the cell vectors:
1 Ir 0.000 0.000 0.000
2 Os 0.750 0.750 0.750
3 Cl 0.375 0.375 0.375
4 Cl 0.375 0.375 0.875
5 Cl 0.375 0.875 0.375
6 Cl 0.875 0.375 0.375


First-principles (GGA-PBE) data for a geometry-optimized Pm2HfP3Rh12 structure, as listed in Alexandria.

Calculated values
ΔH_f (0 K) (eV/atom): -0.34

abc: 6.726 6.726 6.726
angles: 83.01 83.01 83.01
Sites, in units of the cell vectors:
1 Pm 0.124 0.124 0.124
2 Pm 0.876 0.876 0.876
3 Hf 0.500 0.500 0.500
4 P 0.000 0.500 0.500
5 P 0.500 0.000 0.500
6 P 0.500 0.500 0.000
7 Rh 0.138 0.138 0.586
8 Rh 0.138 0.586 0.138
9 Rh 0.168 0.675 0.675
10 Rh 0.325 0.325 0.832
11 Rh 0.325 0.832 0.325
12 Rh 0.414 0.862 0.862
13 Rh 0.586 0.138 0.138
14 Rh 0.675 0.168 0.675
15 Rh 0.675 0.675 0.168
16 Rh 0.832 0.325 0.325
17 Rh 0.862 0.414 0.862
18 Rh 0.862 0.862 0.414